Entry 1:
SrTiMn2Ag | PBE | optimized geometry

Geometry as POSCAR:
```
SrTiMn2Ag
1.0
5.0720 0.0000 0.0000
0.0000 5.0720 0.0000
0.0000 0.0000 5.0589
Sr Ti Mn Ag
1 1 2 1
direct
0.0000 0.0000 0.0000 Sr
0.5000 0.5000 0.0000 Ti
0.0000 0.5000 0.5000 Mn
0.5000 0.0000 0.5000 Mn
0.5000 0.5000 0.5000 Ag
```

Properties
- Formation energy: 0.827 eV per atom
- Crystal system: tetragonal
- Total energy: -5.326 eV per atom
- Total moment: 1.2450 μB/atom
- Space group: No. 123

---

Entry 2:
SrTi2MnAg | PBE | optimized geometry

Geometry as POSCAR:
```
SrTi2MnAg
1.0
4.9918 0.0000 0.0000
0.0000 4.9918 0.0000
0.0000 0.0000 4.9368
Sr Ti Mn Ag
1 2 1 1
direct
0.0000 0.0000 0.0000 Sr
0.0000 0.5000 0.5000 Ti
0.5000 0.0000 0.5000 Ti
0.5000 0.5000 0.0000 Mn
0.5000 0.5000 0.5000 Ag
```

Properties
- Formation energy: 1.249 eV per atom
- Crystal system: tetragonal
- Total energy: -4.650 eV per atom
- Total moment: 0.5263 μB/atom
- Space group: No. 123

---

Entry 3:
TaMnAg2 | PBE | optimized geometry

Geometry as POSCAR:
```
TaMnAg2
1.0
2.8455 0.0000 0.0000
0.0000 2.8455 0.0000
0.0000 0.0000 8.3614
Ta Mn Ag
1 1 2
direct
0.0000 0.0000 0.0000 Ta
0.5000 0.5000 0.7701 Mn
0.0000 0.0000 0.5288 Ag
0.5000 0.5000 0.2663 Ag
```

Properties
- Formation energy: 0.201 eV per atom
- Crystal system: tetragonal
- Offset from the most stable computed form: 0 meV/atom
- Total energy: -6.480 eV per atom
- Total moment: 0.8715 μB/atom
- Space group: No. 99

---

Entry 4:
TaMnAg2 | PBE | optimized geometry

Geometry as POSCAR:
```
TaMnAg2
1.0
-2.0227 2.0227 4.0331
2.0227 -2.0227 4.0331
2.0227 2.0227 -4.0331
Ta Mn Ag
1 1 2
direct
0.0000 0.0000 0.0000 Ta
0.7500 0.2500 0.5000 Mn
0.2500 0.7500 0.5000 Ag
0.5000 0.5000 0.0000 Ag
```

Properties
- Formation energy: 0.458 eV per atom
- Crystal system: tetragonal
- Offset from the most stable computed form: 257 meV/atom
- Total energy: -6.223 eV per atom
- Total moment: 0.4241 μB/atom
- Space group: No. 119

---

Entry 5:
TaMnAg2 | PBE | optimized geometry

Geometry as POSCAR:
```
TaMnAg2
1.0
2.7233 -4.3744 0.0000
2.7233 4.3744 0.0000
0.0000 0.0000 2.8307
Ta Mn Ag
1 1 2
direct
0.0000 0.0000 0.0000 Ta
0.5000 0.5000 0.0000 Mn
0.0000 0.5000 0.5000 Ag
0.5000 0.0000 0.5000 Ag
```

Properties
- Formation energy: 0.432 eV per atom
- Crystal system: orthorhombic
- Offset from the most stable computed form: 232 meV/atom
- Total energy: -6.249 eV per atom
- Total moment: 0.6311 μB/atom
- Space group: No. 65

---

Entry 6:
TaMnAg | PBE | optimized geometry

Geometry as POSCAR:
```
TaMnAg
1.0
0.0000 3.0153 3.0153
3.0153 0.0000 3.0153
3.0153 3.0153 0.0000
Ta Mn Ag
1 1 1
direct
0.0000 0.0000 0.0000 Ta
0.2500 0.2500 0.2500 Mn
0.5000 0.5000 0.5000 Ag
```

Properties
- Formation energy: 0.873 eV per atom
- Crystal system: cubic
- Offset from the most stable computed form: 613 meV/atom
- Total energy: -7.085 eV per atom
- Total moment: 0.3129 μB/atom
- Space group: No. 216

---

Entry 7:
TaMnAg4 | PBE | optimized geometry

Geometry as POSCAR:
```
TaMnAg4
1.0
0.0000 3.7927 3.7927
3.7927 0.0000 3.7927
3.7927 3.7927 0.0000
Ta Mn Ag
1 1 4
direct
0.0000 0.0000 0.0000 Ta
0.2500 0.2500 0.2500 Mn
0.1251 0.6250 0.6250 Ag
0.6250 0.1251 0.6250 Ag
0.6250 0.6250 0.1251 Ag
0.6250 0.6250 0.6250 Ag
```

Properties
- Formation energy: 0.593 eV per atom
- Crystal system: cubic
- Total energy: -4.812 eV per atom
- Total moment: 0.4482 μB/atom
- Space group: No. 216

---

Entry 8:
TaMn3Ag | PBE | optimized geometry

Geometry as POSCAR:
```
TaMn3Ag
1.0
4.7382 0.0000 0.0000
0.0000 4.7382 0.0000
0.0000 0.0000 4.7382
Ta Mn Ag
1 3 1
direct
0.0000 0.0000 0.0000 Ta
0.0000 0.5000 0.5000 Mn
0.5000 0.0000 0.5000 Mn
0.5000 0.5000 0.0000 Mn
0.5000 0.5000 0.5000 Ag
```

Properties
- Formation energy: 1.597 eV per atom
- Crystal system: cubic
- Offset from the most stable computed form: 273 meV/atom
- Total energy: -6.846 eV per atom
- Total moment: 1.9738 μB/atom
- Space group: No. 221

---

Entry 9:
TaMn3Ag | PBE | optimized geometry

Geometry as POSCAR:
```
TaMn3Ag
1.0
4.6951 0.0000 0.0000
0.0000 4.6951 0.0000
0.0000 0.0000 4.6951
Ta Mn Ag
1 3 1
direct
0.0000 0.0000 0.0000 Ta
0.0000 0.0000 0.5000 Mn
0.0000 0.5000 0.0000 Mn
0.5000 0.0000 0.0000 Mn
0.5000 0.5000 0.5000 Ag
```

Properties
- Formation energy: 1.324 eV per atom
- Crystal system: cubic
- Offset from the most stable computed form: 0 meV/atom
- Total energy: -7.119 eV per atom
- Total moment: 1.7197 μB/atom
- Space group: No. 221

---

Entry 10:
TaMn2Ag | PBE | optimized geometry

Geometry as POSCAR:
```
TaMn2Ag
1.0
-3.4672 3.4672 2.7631
3.4672 -3.4672 2.7631
3.4672 3.4672 -2.7631
Ta Mn Ag
2 4 2
direct
0.0000 0.0000 0.0000 Ta
0.7500 0.2500 0.5000 Ta
0.1172 0.1250 0.4922 Mn
0.3750 0.8828 0.0078 Mn
0.6328 0.6250 0.5078 Mn
0.8750 0.3672 0.9922 Mn
0.2500 0.7500 0.5000 Ag
0.5000 0.5000 0.0000 Ag
```

Properties
- Formation energy: 0.745 eV per atom
- Crystal system: tetragonal
- Offset from the most stable computed form: 562 meV/atom
- Total energy: -7.516 eV per atom
- Total moment: 1.1451 μB/atom
- Space group: No. 122

---

Entry 11:
TaMnAg | PBE | optimized geometry

Geometry as POSCAR:
```
TaMnAg
1.0
0.0000 1.9966 6.2738
1.9919 0.0000 6.2738
1.9919 1.9966 0.0000
Ta Mn Ag
1 1 1
direct
0.0000 0.0000 0.0000 Ta
0.6537 0.6537 0.3463 Mn
0.3188 0.3188 0.6812 Ag
```

Properties
- Formation energy: 0.260 eV per atom
- Crystal system: orthorhombic
- Offset from the most stable computed form: 0 meV/atom
- Total energy: -7.698 eV per atom
- Total moment: 1.1574 μB/atom
- Space group: No. 42

---

Entry 12:
TaMn2Ag | PBE | optimized geometry

Geometry as POSCAR:
```
TaMn2Ag
1.0
0.0000 3.1204 3.1204
3.1204 0.0000 3.1204
3.1204 3.1204 0.0000
Ta Mn Ag
1 2 1
direct
0.0000 0.0000 0.0000 Ta
0.2500 0.2500 0.2500 Mn
0.5000 0.5000 0.5000 Mn
0.7500 0.7500 0.7500 Ag
```

Properties
- Formation energy: 0.449 eV per atom
- Crystal system: cubic
- Offset from the most stable computed form: 267 meV/atom
- Total energy: -7.812 eV per atom
- Total moment: 1.0152 μB/atom
- Space group: No. 216

---

Question: Among the records above, which one has the lowest total moment?
Answer: number 6